No. 1
A plane-wave DFT calculation with PBE-GGA was carried out for a geometry-optimized Pm2DyThS4 structure.

Unit cell a=3.982 b=6.971 c=6.932 alpha=109.22 beta=90.00 gamma=90.00
Fractional coordinates of all 8 atoms:
Pm: 0.500 0.000 0.500
Pm: 0.000 0.500 0.500
Dy: 0.000 0.000 0.000
Th: 0.500 0.500 0.000
S: 0.500 0.241 0.242
S: 0.500 0.759 0.758
S: 0.000 0.244 0.753
S: 0.000 0.756 0.247

Results
* DOS at the Fermi energy: 3.39 states/eV/cell
* formation energy from raw total energies: -1.965 eV per atom

No. 2
A plane-wave DFT calculation with PBE-GGA was carried out for a geometry-optimized Pm4Dy3ThS8 structure.

Unit cell a=7.975 b=7.982 c=7.975 alpha=119.97 beta=120.00 gamma=90.00
Fractional coordinates of all 16 atoms:
Pm: 0.500 0.000 0.000
Pm: 0.500 0.000 0.500
Pm: 0.000 0.000 0.000
Pm: 0.000 0.000 0.500
Dy: 0.500 0.500 0.000
Dy: 0.500 0.500 0.500
Dy: 0.000 0.500 0.500
Th: 0.000 0.500 0.000
S: 0.250 0.742 0.992
S: 0.250 0.742 0.500
S: 0.254 0.263 0.508
S: 0.741 0.742 0.992
S: 0.259 0.258 0.008
S: 0.746 0.737 0.492
S: 0.750 0.258 0.500
S: 0.750 0.258 0.008

Results
* DOS at the Fermi energy: 9.07 states/eV/cell
* formation energy from raw total energies: -1.986 eV per atom